## HoFeF5 (GGA+U)

Data for an optimized crystal structure of HoFeF5.

Geometry as POSCAR:
```
HoFeF5
1.0
5.3828 0.2422 1.7923
0.7993 5.3287 1.7923
0.0730 0.0658 7.5789
F Fe Ho
10 2 2
Cartesian
2.3561 3.7922 5.8933
3.8991 1.8444 5.2703
1.3918 4.7080 3.6871
1.6768 1.2683 7.4858
4.8563 4.1333 7.4673
1.3989 1.5033 3.6963
3.9797 1.9170 2.1038
4.8635 0.9287 7.4765
2.2755 3.7196 9.0598
4.5784 4.3684 3.6778
0.0365 0.0329 3.7895
0.0000 0.0000 0.0000
3.3769 2.5783 7.4765
2.8783 3.0583 3.6871
```

As for the symmetry: C2/c (15). The uncorrected energy comes out at -0.4565 Ry per atom.